An optimized crystal structure of Rb4CaI5, computed with PBE.

Unit cell a=11.400 b=11.400 c=7.916 alpha=90.00 beta=90.00 gamma=90.00
Space group I4 (No. 79)
Symmetry-distinct sites (fractional):
1 Rb 0.091 0.291 0.000
2 Ca 0.000 0.000 0.527
3 I 0.000 0.000 0.134
4 I 0.088 0.276 0.513

Calculated density, g/cm3: 3.281
Formation energy from raw total energies, meV per atom: -1342
E, eV/atom: -2.704

---

An optimized crystal structure of K2LiSCl, computed with PBE.

Unit cell a=6.060 b=6.060 c=4.463 alpha=90.00 beta=90.00 gamma=90.00
Space group P4/mmm (No. 123)
Symmetry-distinct sites (fractional):
1 K 0.000 0.500 0.000
2 Li 0.000 0.000 0.500
3 S 0.000 0.000 0.000
4 Cl 0.500 0.500 0.500

Calculated density, g/cm3: 1.547
Formation energy from raw total energies, meV per atom: -1337
E, eV/atom: -3.353

---

An optimized crystal structure of LiHg2Au, computed with PBE.

Unit cell a=3.1589 b=3.1589 c=27.8269 alpha=90.00 beta=90.00 gamma=120.00
Space group R-3m (No. 166, hexagonal axes)
Symmetry-distinct sites (fractional):
1 Li 0.0000 0.0000 0.0000
2 Hg 0.0000 0.0000 0.2555
3 Au 0.0000 0.0000 0.5000

Calculated density, g/cm3: 12.535
Energy of formation, eV per atom: -0.1329
E, eV/atom: -1.582

---

An optimized crystal structure of SmEr2Pt, computed with PBE.

Unit cell a=3.8067 b=3.8067 c=28.3588 alpha=90.00 beta=90.00 gamma=120.00
Space group R-3m (No. 166, hexagonal axes)
Symmetry-distinct sites (fractional):
1 Sm 0.0000 0.0000 0.0000
2 Er 0.0000 0.0000 0.2273
3 Pt 0.0000 0.0000 0.5000

Calculated density, g/cm3: 9.518
Energy above the most stable polymorph in this dataset, meV per atom: 191
Energy of formation, eV per atom: -0.5208
E, eV/atom: -5.492

---

An optimized crystal structure of ScCdTc3, computed with PBE.

Unit cell a=4.637 b=4.637 c=4.637 alpha=90.00 beta=90.00 gamma=90.00
Space group Pm-3m (No. 221)
Symmetry-distinct sites (fractional):
1 Sc 0.000 0.000 0.000
2 Cd 0.500 0.500 0.500
3 Tc 0.000 0.000 0.500

Calculated density, g/cm3: 7.516
Energy above the most stable polymorph in this dataset, meV per atom: 0
Energy of formation, eV per atom: 1.6565
E, eV/atom: -6.012

---

An optimized crystal structure of Rb2SrBeAs2, computed with PBE.

Unit cell a=7.138 b=15.289 c=6.988 alpha=90.00 beta=90.00 gamma=90.00
Space group Ibam (No. 72)
Symmetry-distinct sites (fractional):
1 Rb 0.210 0.181 0.000
2 Sr 0.000 0.500 0.250
3 Be 0.000 0.000 0.250
4 As 0.188 0.075 0.500

Calculated density, g/cm3: 3.636
Energy of formation, eV per atom: -0.4460
E, eV/atom: -3.220

---

An optimized crystal structure of Cu2OsW, computed with PBE.

Unit cell a=3.690 b=3.690 c=8.064 alpha=90.00 beta=90.00 gamma=90.00
Space group I4/mmm (No. 139)
Symmetry-distinct sites (fractional):
1 Cu 0.000 0.500 0.250
2 Os 0.000 0.000 0.000
3 W 0.000 0.000 0.500

Calculated density, g/cm3: 15.159
Energy above the most stable polymorph in this dataset, meV per atom: 82
Energy of formation, eV per atom: 0.3030
E, eV/atom: -7.791

---

An optimized crystal structure of AlRe2Os, computed with PBE.

Unit cell a=2.807 b=3.960 c=5.283 alpha=90.00 beta=90.07 gamma=90.00
Space group Pm (No. 6)
Symmetry-distinct sites (fractional):
1 Al 0.000 0.000 0.000
2 Re 0.009 0.000 0.498
3 Re 0.496 0.500 0.265
4 Os 0.503 0.500 0.786

Calculated density, g/cm3: 16.676
Energy of formation, eV per atom: -0.0272
E, eV/atom: -9.994